Run 1
NaAg2F4, relaxed, DFT PBE; symmetry = I4_1/amd, No. 141
1.0
-5.482 2.313 -3.354
6.198 1.802 -2.234
-1.956 -6.508 -0.688
Na Ag F
2 4 8
Direct
0.750 0.500 0.250
0.000 0.000 0.000
0.375 0.750 0.625
0.375 0.250 0.625
0.875 0.250 0.625
0.375 0.750 0.125
0.656 0.200 0.857
0.094 0.701 0.794
0.656 0.800 0.456
0.094 0.299 0.393
0.544 0.201 0.344
0.607 0.700 0.906
0.206 0.300 0.906
0.143 0.799 0.344


Run 2
NaAg2F4, relaxed, DFT PBE; symmetry = Cmmm, No. 65
1.0
-3.936 4.485 0.955
1.523 -3.817 4.431
5.052 4.060 1.761
Na Ag F
2 4 8
Direct
0.500 0.500 0.250
0.500 0.500 0.750
0.168 0.832 0.000
0.832 0.168 0.000
0.168 0.832 0.500
0.832 0.168 0.500
0.755 0.755 0.000
0.245 0.245 0.000
0.245 0.245 0.500
0.755 0.755 0.500
0.500 0.000 0.250
0.000 0.500 0.250
0.500 0.000 0.750
0.000 0.500 0.750


How far above the most stable structure does each one sit? In kJ/mol of atoms: run 1 0.0; run 2 3.5.


Run 1
PaGaAs, relaxed, DFT PBE; symmetry = I4/mmm, No. 139
1.0
4.054 0.000 -0.845
-0.176 4.050 -0.845
-0.448 -0.468 7.993
Pa Ga As
2 2 2
Direct
0.352 0.352 0.704
0.648 0.648 0.296
0.000 0.500 0.000
0.500 0.000 0.000
0.157 0.157 0.314
0.843 0.843 0.686


Run 2
PaGaAs, relaxed, DFT PBE; symmetry = R-3m, No. 166
1.0
4.642 0.000 0.000
2.321 4.020 0.000
2.321 1.340 8.301
Pa As Ga
2 2 2
Direct
0.261 0.261 0.217
0.739 0.739 0.783
0.377 0.377 0.868
0.623 0.623 0.132
0.860 0.860 0.420
0.140 0.140 0.580


How far above the most stable structure does each one sit? In kJ/mol of atoms: run 1 0.0; run 2 35.3.